This record from Alexandria describes a geometry-optimized Mn4GaC2 structure. The functional is PBE.

## Properties
DFT formation energy in eV per atom: -0.03
Symmetry: Cmcm (63)
Volume in Å³ per cell: 151.1

Cell lengths 5.1708, 5.1708, 10.2350 Å; angles 90.00, 90.00, 146.48 degrees
Atoms (fractional coordinates):
Mn 0.0000 0.0000 0.0000
Mn 0.0000 0.0000 0.5000
Mn 0.2528 0.7472 0.5995
Mn 0.2528 0.7472 0.9005
Mn 0.4091 0.5909 0.2500
Mn 0.5909 0.4091 0.7500
Mn 0.7472 0.2528 0.0995
Mn 0.7472 0.2528 0.4005
Ga 0.1120 0.8880 0.2500
Ga 0.8880 0.1120 0.7500
C 0.3652 0.6348 0.0590
C 0.3652 0.6348 0.4410
C 0.6348 0.3652 0.5590
C 0.6348 0.3652 0.9410